Record 1
Material: BaTcAs2O8
Method: DFT, PBE
State: relaxed

Cell lengths 5.145, 5.145, 7.972 Å; angles 90.00, 90.00, 120.00 degrees
Sites, in units of the cell vectors:
O: 0.289 0.966 0.657
O: 0.034 0.323 0.657
O: 0.966 0.677 0.343
O: 0.677 0.711 0.657
O: 0.333 0.667 0.932
O: 0.323 0.289 0.343
O: 0.711 0.034 0.343
O: 0.667 0.333 0.068
As: 0.333 0.667 0.719
As: 0.667 0.333 0.281
Ba: 0.000 0.000 0.000
Tc: 0.000 0.000 0.500

- E_tot (eV per atom) = -6.695

Record 2
Material: BaTe2AsO8
Method: DFT, PBE
State: relaxed

Cell lengths 5.202, 7.068, 7.575 Å; angles 47.17, 69.92, 68.41 degrees
Sites, in units of the cell vectors:
O: 0.352 0.993 0.804
O: 0.850 0.993 0.804
O: 0.648 0.007 0.196
O: 0.059 0.652 0.230
O: 0.696 0.459 0.149
O: 0.150 0.007 0.196
O: 0.941 0.348 0.770
O: 0.304 0.541 0.851
Te: 0.709 0.759 0.823
Te: 0.291 0.241 0.177
Ba: 0.500 0.500 0.500
As: 0.000 0.000 0.000

- E_tot (eV per atom) = -5.621

Computed formation energy from raw total energies (eV/atom) in order:
-1.591 -1.245
Computed size of the total moment (μB/f.u.) in order:
3.00 0.99